# 1
DFT (PBE) results for crystalline Sr2LiPm at its relaxed geometry.

a b c (Å): 3.9424 3.9424 36.3249
angles (deg): 90.00 90.00 120.00
Fractional positions:
Sr 0.0000 0.0000 0.0000
Sr 0.0000 0.0000 0.1733
Sr 0.3333 0.6667 0.6667
Sr 0.3333 0.6667 0.8400
Sr 0.6667 0.3333 0.3333
Sr 0.6667 0.3333 0.5067
Li 0.0000 0.0000 0.5864
Li 0.3333 0.6667 0.2531
Li 0.6667 0.3333 0.9198
Pm 0.0000 0.0000 0.4203
Pm 0.3333 0.6667 0.0870
Pm 0.6667 0.3333 0.7536

## Properties
- Magnetic moment: 0.054 μB per atom
- Space-group type: R3m, No. 160
- Offset from the most stable computed form: 0.0304 eV/atom


# 2
DFT (PBE) results for crystalline PmDy12Y3 at its relaxed geometry.

a b c (Å): 5.0295 5.0295 20.0997
angles (deg): 90.00 90.00 90.00
Fractional positions:
Pm 0.0000 0.0000 0.0000
Dy 0.0000 0.5000 0.1256
Dy 0.0000 0.5000 0.3753
Dy 0.0000 0.5000 0.6247
Dy 0.0000 0.5000 0.8744
Dy 0.5000 0.0000 0.1256
Dy 0.5000 0.0000 0.3753
Dy 0.5000 0.0000 0.6247
Dy 0.5000 0.0000 0.8744
Dy 0.5000 0.5000 0.0000
Dy 0.5000 0.5000 0.2509
Dy 0.5000 0.5000 0.5000
Dy 0.5000 0.5000 0.7491
Y 0.0000 0.0000 0.2505
Y 0.0000 0.0000 0.5000
Y 0.0000 0.0000 0.7495

## Properties
- Magnetic moment: 0.000 μB per atom
- Space-group type: P4/mmm, No. 123


# 3
DFT (PBE) results for crystalline PmCoRh at its relaxed geometry.

a b c (Å): 4.1026 4.1026 4.0727
angles (deg): 90.00 90.00 120.00
Fractional positions:
Pm 0.0000 0.0000 0.0000
Co 0.6667 0.3333 0.5000
Rh 0.3333 0.6667 0.5000

## Properties
- Magnetic moment: 0.383 μB per atom
- Space-group type: P-6m2, No. 187


# 4
DFT (PBE) results for crystalline KZrSeBr2 at its relaxed geometry.

a b c (Å): 5.4540 5.4540 5.2467
angles (deg): 90.00 90.00 90.00
Fractional positions:
K 0.0000 0.0000 0.0000
Zr 0.5000 0.5000 0.5000
Se 0.5000 0.5000 0.0000
Br 0.0000 0.5000 0.5000
Br 0.5000 0.0000 0.5000

## Properties
- Magnetic moment: 0.000 μB per atom
- Space-group type: P4/mmm, No. 123
- Formation energy (no corrections): -1262 meV per atom
- Offset from the most stable computed form: 0.0000 eV/atom


# 5
DFT (PBE) results for crystalline HPtS at its relaxed geometry.

a b c (Å): 2.7432 4.4712 7.6670
angles (deg): 90.00 90.00 90.00
Fractional positions:
H 0.0000 0.0000 0.0000
H 0.0000 0.5000 0.5000
Pt 0.0000 0.0000 0.7698
Pt 0.0000 0.5000 0.2698
S 0.0000 0.0000 0.2062
S 0.0000 0.5000 0.7062

## Properties
- Magnetic moment: 0.000 μB per atom
- Space-group type: Amm2, No. 38
- Offset from the most stable computed form: 0.0504 eV/atom


# 6
DFT (PBE) results for crystalline LiLa2Pm at its relaxed geometry.

a b c (Å): 8.0903 8.0903 8.0903
angles (deg): 90.00 90.00 90.00
Fractional positions:
Li 0.0000 0.0000 0.0000
Li 0.0000 0.5000 0.5000
Li 0.5000 0.0000 0.5000
Li 0.5000 0.5000 0.0000
La 0.2500 0.2500 0.2500
La 0.2500 0.2500 0.7500
La 0.2500 0.7500 0.2500
La 0.2500 0.7500 0.7500
La 0.7500 0.2500 0.2500
La 0.7500 0.2500 0.7500
La 0.7500 0.7500 0.2500
La 0.7500 0.7500 0.7500
Pm 0.0000 0.0000 0.5000
Pm 0.0000 0.5000 0.0000
Pm 0.5000 0.0000 0.0000
Pm 0.5000 0.5000 0.5000

## Properties
- Magnetic moment: 0.000 μB per atom
- Space-group type: Fm-3m, No. 225
- Offset from the most stable computed form: 0.0976 eV/atom


# 7
DFT (PBE) results for crystalline KLaNb3 at its relaxed geometry.

a b c (Å): 5.0871 5.0871 5.0871
angles (deg): 90.00 90.00 90.00
Fractional positions:
K 0.0000 0.0000 0.0000
La 0.5000 0.5000 0.5000
Nb 0.0000 0.5000 0.5000
Nb 0.5000 0.0000 0.5000
Nb 0.5000 0.5000 0.0000

## Properties
- Magnetic moment: 0.000 μB per atom
- Space-group type: Pm-3m, No. 221
- Offset from the most stable computed form: 0.0000 eV/atom


# 8
DFT (PBE) results for crystalline CoCSCl2 at its relaxed geometry.

a b c (Å): 4.5885 4.5885 4.4287
angles (deg): 90.00 90.00 90.00
Fractional positions:
Co 0.0000 0.0000 0.0000
C 0.5000 0.5000 0.5000
S 0.0000 0.0000 0.5000
Cl 0.0000 0.5000 0.0000
Cl 0.5000 0.0000 0.0000

## Properties
- Magnetic moment: 0.178 μB per atom
- Space-group type: P4/mmm, No. 123
- Formation energy (no corrections): 1410 meV per atom
- Offset from the most stable computed form: 0.0614 eV/atom


The E_tot results, record by record, are as follows: -2.34 -4.94 -6.72 -4.56 -4.43 -3.97 -5.37 -3.42 eV per atom.